Density functional theory data (GGA-PBE) for a relaxed structure of KLa2F.

It has space group Fm-3m (No. 225), with a = 8.101 Å, b = 8.101 Å, c = 8.101 Å, α = 90.00°, β = 90.00° and γ = 90.00°. The distinct sites, in fractional coordinates, are K at (0.000, 0.000, 0.000), La at (0.250, 0.250, 0.250) and F at (0.000, 0.000, 0.500).

Its uncorrected formation energy is 0.00 eV/atom. As for the relative energy among the computed polymorphs: 0.860 eV per atom. As for the energy: -3.2067 eV/atom.